# 1
Material: SrNiP
Method: DFT, PBE
State: optimized geometry

DFT total energy ... -26.27 eV/cell
DFT formation energy ... -0.0865 eV per atom
Density of states at the Fermi level ... 6.81 states/eV/cell
Total magnetic moment ... 0.00 Bohr magnetons per cell

Cell lengths 3.926, 4.390, 8.232 Å; angles 90.00, 90.00, 90.00 degrees
Space group Imm2 (No. 44)
Inequivalent atoms, fractional coordinates:
1 Sr 0.000 0.000 0.000 (multiplicity 2)
2 Ni 0.000 0.000 0.386 (multiplicity 2)
3 P 0.000 0.000 0.640 (multiplicity 2)


# 2
Material: SrTcNiP
Method: DFT, PBE
State: optimized geometry

DFT total energy ... -48.75 eV/cell
DFT formation energy ... -0.2844 eV per atom
Density of states at the Fermi level ... 9.73 states/eV/cell
Total magnetic moment ... 0.42 Bohr magnetons per cell

Cell lengths 3.835, 3.835, 11.046 Å; angles 90.00, 90.00, 90.00 degrees
Space group P4/nmm (No. 129, origin choice 2)
Inequivalent atoms, fractional coordinates:
1 Sr 0.250 0.250 0.220 (multiplicity 2)
2 Tc 0.250 0.750 0.500 (multiplicity 2)
3 Ni 0.250 0.750 0.000 (multiplicity 2)
4 P 0.250 0.250 0.630 (multiplicity 2)


# 3
Material: SrTcNiP2
Method: DFT, PBE
State: optimized geometry

DFT total energy ... -65.59 eV/cell
DFT formation energy ... -0.8297 eV per atom
Density of states at the Fermi level ... 4.66 states/eV/cell
Total magnetic moment ... 0.00 Bohr magnetons per cell

Cell lengths 3.881, 3.881, 12.084 Å; angles 90.00, 90.00, 90.00 degrees
Space group I-4m2 (No. 119)
Inequivalent atoms, fractional coordinates:
1 Sr 0.000 0.000 0.000 (multiplicity 2)
2 Tc 0.000 0.500 0.250 (multiplicity 2)
3 Ni 0.000 0.500 0.750 (multiplicity 2)
4 P 0.000 0.000 0.355 (multiplicity 4)


# 4
Material: Sr2TlNiP
Method: DFT, PBE
State: optimized geometry

DFT total energy ... -19.18 eV/cell
DFT formation energy ... -0.4509 eV per atom
Density of states at the Fermi level ... 4.63 states/eV/cell
Total magnetic moment ... 0.00 Bohr magnetons per cell

Cell lengths 5.941, 5.941, 4.192 Å; angles 90.00, 90.00, 90.00 degrees
Space group P4/mmm (No. 123)
Inequivalent atoms, fractional coordinates:
1 Sr 0.000 0.500 0.000 (multiplicity 2)
2 Tl 0.000 0.000 0.500 (multiplicity 1)
3 Ni 0.500 0.500 0.500 (multiplicity 1)
4 P 0.500 0.500 0.000 (multiplicity 1)


# 5
Material: SrVNiP2
Method: DFT, PBE
State: optimized geometry

DFT total energy ... -63.55 eV/cell
DFT formation energy ... -0.8744 eV per atom
Density of states at the Fermi level ... 4.39 states/eV/cell
Total magnetic moment ... 1.95 Bohr magnetons per cell

Cell lengths 3.886, 3.886, 12.015 Å; angles 90.00, 90.00, 90.00 degrees
Space group I-4m2 (No. 119)
Inequivalent atoms, fractional coordinates:
1 Sr 0.000 0.000 0.000 (multiplicity 2)
2 V 0.000 0.500 0.250 (multiplicity 2)
3 Ni 0.000 0.500 0.750 (multiplicity 2)
4 P 0.000 0.000 0.355 (multiplicity 4)


# 6
Material: SrYNi2P2
Method: DFT, PBE
State: optimized geometry

DFT total energy ... -36.84 eV/cell
DFT formation energy ... -1.0512 eV per atom
Density of states at the Fermi level ... 2.87 states/eV/cell
Total magnetic moment ... 0.00 Bohr magnetons per cell

Cell lengths 3.9276, 3.9276, 8.3196 Å; angles 90.00, 90.00, 120.00 degrees
Space group P-3m1 (No. 164)
Inequivalent atoms, fractional coordinates:
1 Sr 0.0000 0.0000 0.0000 (multiplicity 1)
2 Y 0.0000 0.0000 0.5000 (multiplicity 1)
3 Ni 0.3333 0.6667 0.7293 (multiplicity 2)
4 P 0.3333 0.6667 0.2700 (multiplicity 2)


# 7
Material: TaNiP2
Method: DFT, PBE
State: optimized geometry

DFT total energy ... -115.61 eV/cell
DFT formation energy ... -0.1121 eV per atom
Density of states at the Fermi level ... 11.33 states/eV/cell
Total magnetic moment ... 0.00 Bohr magnetons per cell

Cell lengths 5.465, 5.465, 10.043 Å; angles 90.00, 90.00, 90.00 degrees
Space group I-42d (No. 122)
Inequivalent atoms, fractional coordinates:
1 Ta 0.000 0.000 0.000 (multiplicity 4)
2 Ni 0.000 0.000 0.500 (multiplicity 4)
3 P 0.218 0.250 0.625 (multiplicity 8)


# 8
Material: Ta9Ni2P6
Method: DFT, PBE
State: optimized geometry

DFT total energy ... -158.14 eV/cell
DFT formation energy ... -0.4382 eV per atom
Density of states at the Fermi level ... 10.34 states/eV/cell
Total magnetic moment ... 0.00 Bohr magnetons per cell

Cell lengths 10.2781, 10.2781, 3.4152 Å; angles 90.00, 90.00, 120.00 degrees
Space group P-62m (No. 189)
Inequivalent atoms, fractional coordinates:
1 Ta 0.0000 0.4494 0.0000 (multiplicity 3)
2 Ta 0.1922 0.7372 0.5000 (multiplicity 6)
3 Ni 0.3333 0.6667 0.0000 (multiplicity 2)
4 P 0.0000 0.2662 0.5000 (multiplicity 3)
5 P 0.0000 0.7006 0.0000 (multiplicity 3)


# 9
Material: TaNiP2
Method: DFT, PBE
State: optimized geometry

DFT total energy ... -28.75 eV/cell
DFT formation energy ... -0.0736 eV per atom
Density of states at the Fermi level ... 3.12 states/eV/cell
Total magnetic moment ... 0.00 Bohr magnetons per cell

Cell lengths 2.836, 2.836, 7.901 Å; angles 90.00, 90.00, 90.00 degrees
Space group P4mm (No. 99)
Inequivalent atoms, fractional coordinates:
1 Ta 0.000 0.000 0.000 (multiplicity 1)
2 Ni 0.500 0.500 0.239 (multiplicity 1)
3 P 0.000 0.000 0.386 (multiplicity 1)
4 P 0.500 0.500 0.768 (multiplicity 1)


# 10
Material: TaNiP2
Method: DFT, PBE
State: optimized geometry

DFT total energy ... -29.72 eV/cell
DFT formation energy ... -0.3163 eV per atom
Density of states at the Fermi level ... 2.07 states/eV/cell
Total magnetic moment ... 0.00 Bohr magnetons per cell

Cell lengths 4.124, 4.124, 3.166 Å; angles 90.00, 90.00, 90.00 degrees
Space group P4/mmm (No. 123)
Inequivalent atoms, fractional coordinates:
1 Ta 0.000 0.000 0.000 (multiplicity 1)
2 Ni 0.500 0.500 0.000 (multiplicity 1)
3 P 0.000 0.500 0.500 (multiplicity 2)


# 11
Material: TaNi3P
Method: DFT, PBE
State: optimized geometry

Excess energy over the best structure of this formula in the dataset ... 0.0 meV/atom
DFT total energy ... -33.66 eV/cell
DFT formation energy ... 0.1895 eV per atom
Density of states at the Fermi level ... 6.21 states/eV/cell
Total magnetic moment ... 0.18 Bohr magnetons per cell

Cell lengths 4.115, 4.115, 4.115 Å; angles 90.00, 90.00, 90.00 degrees
Space group Pm-3m (No. 221)
Inequivalent atoms, fractional coordinates:
1 Ta 0.000 0.000 0.000 (multiplicity 1)
2 Ni 0.000 0.500 0.500 (multiplicity 3)
3 P 0.500 0.500 0.500 (multiplicity 1)


# 12
Material: TaNi3P
Method: DFT, PBE
State: optimized geometry

Excess energy over the best structure of this formula in the dataset ... 1321.2 meV/atom
DFT total energy ... -27.05 eV/cell
DFT formation energy ... 1.5107 eV per atom
Density of states at the Fermi level ... 5.23 states/eV/cell
Total magnetic moment ... 0.00 Bohr magnetons per cell

Cell lengths 4.526, 4.526, 4.526 Å; angles 90.00, 90.00, 90.00 degrees
Space group Pm-3m (No. 221)
Inequivalent atoms, fractional coordinates:
1 Ta 0.000 0.000 0.000 (multiplicity 1)
2 Ni 0.000 0.000 0.500 (multiplicity 3)
3 P 0.500 0.500 0.500 (multiplicity 1)


# 13
Material: TaNi2P2
Method: DFT, PBE
State: optimized geometry

DFT total energy ... -72.20 eV/cell
DFT formation energy ... -0.3727 eV per atom
Density of states at the Fermi level ... 4.98 states/eV/cell
Total magnetic moment ... 0.00 Bohr magnetons per cell

Cell lengths 6.691, 6.691, 2.858 Å; angles 90.00, 90.00, 90.00 degrees
Space group P4/mbm (No. 127)
Inequivalent atoms, fractional coordinates:
1 Ta 0.000 0.000 0.000 (multiplicity 2)
2 Ni 0.137 0.363 0.500 (multiplicity 4)
3 P 0.154 0.654 0.000 (multiplicity 4)


# 14
Material: TaNiP2
Method: DFT, PBE
State: optimized geometry

DFT total energy ... -30.27 eV/cell
DFT formation energy ... -0.4542 eV per atom
Density of states at the Fermi level ... 2.40 states/eV/cell
Total magnetic moment ... 0.00 Bohr magnetons per cell

Cell lengths 3.347, 3.347, 5.030 Å; angles 90.00, 90.00, 90.00 degrees
Space group P4mm (No. 99)
Inequivalent atoms, fractional coordinates:
1 Ta 0.000 0.000 0.000 (multiplicity 1)
2 Ni 0.500 0.500 0.356 (multiplicity 1)
3 P 0.000 0.000 0.478 (multiplicity 1)
4 P 0.500 0.500 0.823 (multiplicity 1)


# 15
Material: TaNiP2
Method: DFT, PBE
State: optimized geometry

DFT total energy ... -60.23 eV/cell
DFT formation energy ... -0.4148 eV per atom
Density of states at the Fermi level ... 5.87 states/eV/cell
Total magnetic moment ... 0.00 Bohr magnetons per cell

Cell lengths 3.326, 3.346, 10.157 Å; angles 90.00, 90.00, 90.00 degrees
Space group Imm2 (No. 44)
Inequivalent atoms, fractional coordinates:
1 Ta 0.000 0.000 0.000 (multiplicity 2)
2 Ni 0.000 0.500 0.740 (multiplicity 2)
3 P 0.000 0.000 0.409 (multiplicity 2)
4 P 0.000 0.500 0.183 (multiplicity 2)


# 16
Material: TaNiP2
Method: DFT, PBE
State: optimized geometry

DFT total energy ... -116.38 eV/cell
DFT formation energy ... -0.1601 eV per atom
Density of states at the Fermi level ... 9.89 states/eV/cell
Total magnetic moment ... 0.00 Bohr magnetons per cell

Cell lengths 6.041, 6.041, 6.041 Å; angles 90.00, 90.00, 90.00 degrees
Space group Fm-3m (No. 225)
Inequivalent atoms, fractional coordinates:
1 Ta 0.000 0.000 0.000 (multiplicity 4)
2 Ni 0.000 0.000 0.500 (multiplicity 4)
3 P 0.250 0.250 0.250 (multiplicity 8)


# 17
Material: TaNi7P2
Method: DFT, PBE
State: optimized geometry

DFT total energy ... -134.78 eV/cell
DFT formation energy ... -0.4248 eV per atom
Density of states at the Fermi level ... 14.29 states/eV/cell
Total magnetic moment ... 0.00 Bohr magnetons per cell

Cell lengths 3.709, 3.709, 17.751 Å; angles 90.00, 90.00, 90.00 degrees
Space group I4/mmm (No. 139)
Inequivalent atoms, fractional coordinates:
1 Ta 0.000 0.000 0.000 (multiplicity 2)
2 Ni 0.000 0.000 0.500 (multiplicity 2)
3 Ni 0.000 0.500 0.103 (multiplicity 8)
4 Ni 0.000 0.500 0.250 (multiplicity 4)
5 P 0.000 0.000 0.323 (multiplicity 4)


# 18
Material: Ta3Ni2P
Method: DFT, PBE
State: optimized geometry

DFT total energy ... -110.83 eV/cell
DFT formation energy ... -0.4805 eV per atom
Density of states at the Fermi level ... 9.72 states/eV/cell
Total magnetic moment ... 0.00 Bohr magnetons per cell

Cell lengths 5.035, 3.553, 9.883 Å; angles 90.00, 96.20, 90.00 degrees
Space group P2_1/m (No. 11)
Inequivalent atoms, fractional coordinates:
1 Ta 0.053 0.250 0.280 (multiplicity 2)
2 Ta 0.221 0.250 0.947 (multiplicity 2)
3 Ta 0.395 0.250 0.613 (multiplicity 2)
4 Ni 0.137 0.750 0.469 (multiplicity 2)
5 Ni 0.289 0.750 0.142 (multiplicity 2)
6 P 0.454 0.750 0.807 (multiplicity 2)


# 19
Material: TaNiP2
Method: DFT, PBE
State: optimized geometry

DFT total energy ... -30.03 eV/cell
DFT formation energy ... -0.3944 eV per atom
Density of states at the Fermi level ... 2.13 states/eV/cell
Total magnetic moment ... 0.00 Bohr magnetons per cell

Cell lengths 3.153, 3.457, 5.217 Å; angles 90.00, 90.00, 90.00 degrees
Space group Pmmm (No. 47)
Inequivalent atoms, fractional coordinates:
1 Ta 0.000 0.000 0.000 (multiplicity 1)
2 Ni 0.500 0.000 0.500 (multiplicity 1)
3 P 0.500 0.500 0.240 (multiplicity 2)


# 20
Material: TaNiP2
Method: DFT, PBE
State: optimized geometry

DFT total energy ... -29.65 eV/cell
DFT formation energy ... -0.2996 eV per atom
Density of states at the Fermi level ... 1.67 states/eV/cell
Total magnetic moment ... 0.00 Bohr magnetons per cell

Cell lengths 2.923, 4.192, 4.725 Å; angles 90.00, 99.92, 90.00 degrees
Space group Pm (No. 6)
Inequivalent atoms, fractional coordinates:
1 Ta 0.000 0.000 0.000 (multiplicity 1)
2 Ni 0.509 0.500 0.296 (multiplicity 1)
3 P 0.351 0.500 0.802 (multiplicity 1)
4 P 0.679 0.000 0.453 (multiplicity 1)


# 21
Material: TaNiP2
Method: DFT, PBE
State: optimized geometry

DFT total energy ... -29.44 eV/cell
DFT formation energy ... -0.2475 eV per atom
Density of states at the Fermi level ... 1.92 states/eV/cell
Total magnetic moment ... 0.00 Bohr magnetons per cell

Cell lengths 3.807, 3.265, 4.958 Å; angles 90.00, 110.02, 90.00 degrees
Space group P2/m (No. 10)
Inequivalent atoms, fractional coordinates:
1 Ta 0.000 0.000 0.000 (multiplicity 1)
2 Ni 0.500 0.500 0.500 (multiplicity 1)
3 P 0.000 0.000 0.500 (multiplicity 1)
4 P 0.500 0.500 0.000 (multiplicity 1)


# 22
Material: Ta2NiP6
Method: DFT, PBE
State: optimized geometry

DFT total energy ... -123.18 eV/cell
DFT formation energy ... 0.0395 eV per atom
Density of states at the Fermi level ... 7.18 states/eV/cell
Total magnetic moment ... 0.00 Bohr magnetons per cell

Cell lengths 5.770, 5.770, 10.332 Å; angles 90.00, 90.00, 90.00 degrees
Space group P4_2/mnm (No. 136)
Inequivalent atoms, fractional coordinates:
1 Ta 0.000 0.000 0.154 (multiplicity 4)
2 Ni 0.000 0.000 0.500 (multiplicity 2)
3 P 0.197 0.197 0.334 (multiplicity 8)
4 P 0.227 0.227 0.000 (multiplicity 4)


# 23
Material: TaNiP2
Method: DFT, PBE
State: optimized geometry

DFT total energy ... -124.99 eV/cell
DFT formation energy ... -0.6984 eV per atom
Density of states at the Fermi level ... 3.75 states/eV/cell
Total magnetic moment ... 0.00 Bohr magnetons per cell

Cell lengths 5.437, 3.346, 12.167 Å; angles 90.00, 90.00, 90.00 degrees
Space group Pnma (No. 62)
Inequivalent atoms, fractional coordinates:
1 Ta 0.019 0.250 0.170 (multiplicity 4)
2 Ni 0.027 0.250 0.414 (multiplicity 4)
3 P 0.135 0.250 0.690 (multiplicity 4)
4 P 0.189 0.250 0.965 (multiplicity 4)


# 24
Material: Ta2Ni21P6
Method: DFT, PBE
State: optimized geometry

DFT total energy ... -756.34 eV/cell
DFT formation energy ... -0.3970 eV per atom
Density of states at the Fermi level ... 64.37 states/eV/cell
Total magnetic moment ... 0.00 Bohr magnetons per cell

Cell lengths 11.065, 11.065, 11.065 Å; angles 90.00, 90.00, 90.00 degrees
Space group Fm-3m (No. 225)
Inequivalent atoms, fractional coordinates:
1 Ta 0.250 0.250 0.250 (multiplicity 8)
2 Ni 0.000 0.000 0.000 (multiplicity 4)
3 Ni 0.000 0.175 0.175 (multiplicity 48)
4 Ni 0.118 0.118 0.382 (multiplicity 32)
5 P 0.000 0.000 0.261 (multiplicity 24)


# 25
Material: TaNiP2
Method: DFT, PBE
State: optimized geometry

DFT total energy ... -60.80 eV/cell
DFT formation energy ... -0.4871 eV per atom
Density of states at the Fermi level ... 4.16 states/eV/cell
Total magnetic moment ... 0.00 Bohr magnetons per cell

Cell lengths 3.265, 3.263, 11.398 Å; angles 90.00, 90.00, 90.00 degrees
Space group Amm2 (No. 38)
Inequivalent atoms, fractional coordinates:
1 Ta 0.000 0.000 0.000 (multiplicity 2)
2 Ni 0.500 0.000 0.799 (multiplicity 2)
3 P 0.000 0.000 0.331 (multiplicity 2)
4 P 0.500 0.000 0.597 (multiplicity 2)